# 1
Ho2TmAl3CuGe2 | PBE | relaxed

Computed properties:
Spin magnetization   0.000 μB/atom
Electronic total energy   -43.7 eV per cell
Volume   19.40 A^3/atom
Crystal system   orthorhombic

a b c (Å): 4.155 6.964 6.964
angles (deg): 119.95 90.00 90.00
Fractional positions:
Al 0.500 0.233 0.001
Al 0.500 0.767 0.767
Tm 0.000 0.403 0.403
Al 0.500 0.001 0.233
Ge 0.500 0.334 0.665
Ho 0.000 0.000 0.596
Ho 0.000 0.596 0.000
Ge 0.500 0.665 0.334
Cu 0.000 0.002 0.002

=====

# 2
HoTm2Al3CuGe2 | PBE | relaxed

Computed properties:
Spin magnetization   0.000 μB/atom
Electronic total energy   -43.6 eV per cell
Volume   19.28 A^3/atom
Crystal system   orthorhombic

a b c (Å): 4.142 6.956 6.956
angles (deg): 120.04 90.00 90.00
Fractional positions:
Tm 0.000 0.403 0.000
Al 0.500 0.233 0.233
Ge 0.500 0.332 0.667
Tm 0.000 0.000 0.403
Ge 0.500 0.667 0.332
Cu 0.000 0.001 0.001
Ho 0.000 0.597 0.597
Al 0.500 0.767 0.000
Al 0.500 0.000 0.767

=====

# 3
Lu2ScAl3CuGe2 | PBE | relaxed

Computed properties:
Spin magnetization   0.000 μB/atom
Electronic total energy   -45.2 eV per cell
Volume   18.41 A^3/atom
Crystal system   orthorhombic

a b c (Å): 4.067 6.850 6.850
angles (deg): 119.75 90.00 90.00
Fractional positions:
Sc 0.000 0.402 0.402
Cu 0.000 0.004 0.004
Al 0.500 0.764 0.764
Ge 0.500 0.662 0.335
Lu 0.000 0.999 0.595
Lu 0.000 0.595 0.999
Ge 0.500 0.335 0.662
Al 0.500 0.003 0.236
Al 0.500 0.236 0.003

=====

# 4
Tb2LuAl3CuGe2 | PBE | relaxed

Computed properties:
Spin magnetization   0.001 μB/atom
Electronic total energy   -43.8 eV per cell
Volume   19.60 A^3/atom
Crystal system   orthorhombic

a b c (Å): 4.174 6.980 6.980
angles (deg): 119.84 90.00 90.00
Fractional positions:
Ge 0.500 0.334 0.662
Al 0.500 0.002 0.233
Tb 0.000 0.596 0.999
Lu 0.000 0.402 0.402
Al 0.500 0.767 0.767
Al 0.500 0.233 0.002
Cu 0.000 0.005 0.005
Ge 0.500 0.662 0.334
Tb 0.000 0.999 0.596

=====

# 5
NdAlCu2Ge | PBE | relaxed

Computed properties:
Spin magnetization   0.002 μB/atom
Electronic total energy   -46.4 eV per cell
Volume   17.85 A^3/atom
Crystal system   tetragonal

a b c (Å): 4.169 4.169 10.272
angles (deg): 90.00 90.00 90.00
Fractional positions:
Al 0.500 0.500 0.500
Cu 0.500 0.000 0.367
Cu 0.000 0.500 0.633
Cu 0.000 0.000 0.000
Cu 0.500 0.500 0.000
Al 0.000 0.000 0.500
Nd 0.000 0.500 0.240
Ge 0.000 0.500 0.868
Ge 0.500 0.000 0.132
Nd 0.500 0.000 0.760

=====

# 6
AlCuGePt | PBE | relaxed

Computed properties:
Energy above the most stable polymorph in this dataset   0.339 eV/f.u.
Spin magnetization   0.000 μB/atom
Volume   15.23 A^3/atom
Crystal system   cubic

a b c (Å): 4.416 4.416 4.416
angles (deg): 60.00 60.00 60.00
Fractional positions:
Pt 0.500 0.500 0.500
Al 0.250 0.250 0.250
Ge 0.000 0.000 0.000
Cu 0.750 0.750 0.750

=====

# 7
AlCuGePt | PBE | relaxed

Computed properties:
Energy above the most stable polymorph in this dataset   0.000 eV/f.u.
Spin magnetization   0.000 μB/atom
Volume   14.84 A^3/atom
Crystal system   cubic

a b c (Å): 4.378 4.378 4.378
angles (deg): 60.00 60.00 60.00
Fractional positions:
Pt 0.250 0.250 0.250
Ge 0.000 0.000 0.000
Cu 0.750 0.750 0.750
Al 0.500 0.500 0.500

=====

# 8
YSc2Al3CuGe2 | PBE | relaxed

Computed properties:
Spin magnetization   0.001 μB/atom
Electronic total energy   -49.0 eV per cell
Volume   18.23 A^3/atom
Crystal system   orthorhombic

a b c (Å): 4.050 6.861 6.861
angles (deg): 120.59 90.00 90.00
Fractional positions:
Cu 0.000 0.011 0.011
Al 0.500 0.766 0.002
Al 0.500 0.002 0.766
Sc 0.000 0.401 0.997
Ge 0.500 0.325 0.669
Al 0.500 0.235 0.235
Y 0.000 0.593 0.593
Ge 0.500 0.669 0.325
Sc 0.000 0.997 0.401

=====

# 9
Tb3Al3Cu2Ge | PBE | relaxed

Computed properties:
Spin magnetization   0.001 μB/atom
Electronic total energy   -40.9 eV per cell
Volume   20.03 A^3/atom
Crystal system   hexagonal

a b c (Å): 7.278 7.278 3.930
angles (deg): 90.00 90.00 120.00
Fractional positions:
Al 0.258 0.258 0.000
Tb 0.000 0.399 0.500
Cu 0.333 0.667 0.000
Cu 0.667 0.333 0.000
Tb 0.601 0.601 0.500
Tb 0.399 0.000 0.500
Al 0.742 0.000 0.000
Al 0.000 0.742 0.000
Ge 0.000 0.000 0.500

=====

# 10
Tb2TmAl3CuGe2 | PBE | relaxed

Computed properties:
Spin magnetization   0.000 μB/atom
Electronic total energy   -43.9 eV per cell
Volume   19.67 A^3/atom
Crystal system   orthorhombic

a b c (Å): 4.173 6.996 6.996
angles (deg): 119.91 90.00 90.00
Fractional positions:
Ge 0.500 0.334 0.663
Al 0.500 0.767 0.767
Tb 0.000 0.999 0.596
Al 0.500 0.001 0.232
Al 0.500 0.232 0.001
Ge 0.500 0.663 0.334
Tm 0.000 0.403 0.403
Tb 0.000 0.596 0.999
Cu 0.000 0.004 0.004

=====

# 11
TbTm2Al3CuGe2 | PBE | relaxed

Computed properties:
Spin magnetization   0.000 μB/atom
Electronic total energy   -43.6 eV per cell
Volume   19.40 A^3/atom
Crystal system   orthorhombic

a b c (Å): 4.155 6.969 6.969
angles (deg): 120.09 90.00 90.00
Fractional positions:
Cu 0.000 0.003 0.003
Al 0.500 0.001 0.768
Tm 0.000 0.999 0.403
Al 0.500 0.768 0.001
Ge 0.500 0.667 0.331
Tb 0.000 0.596 0.596
Ge 0.500 0.331 0.667
Tm 0.000 0.403 0.999
Al 0.500 0.232 0.232

=====

# 12
TbY2Al3CuGe2 | PBE | relaxed

Computed properties:
Spin magnetization   0.000 μB/atom
Electronic total energy   -47.8 eV per cell
Volume   19.84 A^3/atom
Crystal system   orthorhombic

a b c (Å): 4.178 7.026 7.026
angles (deg): 120.01 90.00 90.00
Fractional positions:
Y 0.000 0.403 0.000
Al 0.500 0.232 0.232
Ge 0.500 0.667 0.333
Al 0.500 0.000 0.768
Al 0.500 0.768 0.000
Ge 0.500 0.333 0.667
Tb 0.000 0.597 0.597
Y 0.000 0.000 0.403
Cu 0.000 0.000 0.000

=====

# 13
Tb2YAl3CuGe2 | PBE | relaxed

Computed properties:
Spin magnetization   0.000 μB/atom
Electronic total energy   -45.9 eV per cell
Volume   19.85 A^3/atom
Crystal system   orthorhombic

a b c (Å): 4.178 7.026 7.026
angles (deg): 119.99 90.00 90.00
Fractional positions:
Tb 0.000 0.000 0.597
Ge 0.500 0.667 0.333
Al 0.500 0.768 0.768
Cu 0.000 0.000 0.000
Al 0.500 0.232 0.000
Y 0.000 0.403 0.403
Tb 0.000 0.597 0.000
Ge 0.500 0.333 0.667
Al 0.500 0.000 0.232

=====

# 14
Y2TmAl3CuGe2 | PBE | relaxed

Computed properties:
Spin magnetization   0.000 μB/atom
Electronic total energy   -47.6 eV per cell
Volume   19.58 A^3/atom
Crystal system   orthorhombic

a b c (Å): 4.164 6.987 6.987
angles (deg): 119.91 90.00 90.00
Fractional positions:
Cu 0.000 0.004 0.004
Al 0.500 0.232 0.001
Al 0.500 0.001 0.232
Ge 0.500 0.334 0.663
Y 0.000 0.596 0.999
Al 0.500 0.767 0.767
Y 0.000 0.999 0.596
Tm 0.000 0.402 0.402
Ge 0.500 0.663 0.334

=====

# 15
YAlCu2Ge | PBE | relaxed

Computed properties:
Spin magnetization   0.001 μB/atom
Electronic total energy   -24.6 eV per cell
Volume   17.13 A^3/atom
Crystal system   tetragonal

a b c (Å): 5.879 5.879 5.879
angles (deg): 139.28 139.28 58.95
Fractional positions:
Cu 0.750 0.250 0.500
Cu 0.250 0.750 0.500
Ge 0.381 0.381 0.000
Y 0.997 0.997 0.000
Al 0.623 0.623 0.000

=====

# 16
AlCuTcH6 | PBE | relaxed

Computed properties:
Spin magnetization   0.000 μB/atom
Electronic total energy   -33.7 eV per cell
Volume   6.54 A^3/atom
Crystal system   cubic

a b c (Å): 4.366 4.366 4.366
angles (deg): 60.00 60.00 60.00
Fractional positions:
H 0.279 0.279 0.721
Cu 0.750 0.750 0.750
Al 0.000 0.000 0.000
Tc 0.250 0.250 0.250
H 0.279 0.721 0.721
H 0.721 0.721 0.279
H 0.721 0.279 0.721
H 0.721 0.279 0.279
H 0.279 0.721 0.279

=====

# 17
HfAlCu2 | PBE | relaxed

Computed properties:
Spin magnetization   0.001 μB/atom
Electronic total energy   -21.8 eV per cell
Volume   15.30 A^3/atom
Crystal system   tetragonal

a b c (Å): 4.156 4.156 3.545
angles (deg): 90.00 90.00 90.00
Fractional positions:
Cu 0.500 0.000 0.500
Cu 0.000 0.500 0.500
Hf 0.500 0.500 0.000
Al 0.000 0.000 0.000

=====

# 18
HfAlCu2 | PBE | relaxed

Computed properties:
Spin magnetization   0.002 μB/atom
Electronic total energy   -44.9 eV per cell
Volume   15.14 A^3/atom
Crystal system   trigonal

a b c (Å): 4.193 4.193 7.952
angles (deg): 90.00 90.00 120.00
Fractional positions:
Cu 0.333 0.667 0.590
Al 0.000 0.000 0.500
Hf 0.667 0.333 0.750
Cu 0.667 0.333 0.410
Cu 0.667 0.333 0.090
Cu 0.333 0.667 0.910
Hf 0.333 0.667 0.250
Al 0.000 0.000 0.999

=====

# 19
HfAlCu | PBE | relaxed

Computed properties:
Spin magnetization   0.008 μB/atom
Electronic total energy   -73.7 eV per cell
Volume   16.37 A^3/atom
Crystal system   orthorhombic

a b c (Å): 6.383 4.192 7.341
angles (deg): 90.00 90.00 90.00
Fractional positions:
Al 0.793 0.250 0.583
Cu 0.787 0.750 0.412
Hf 0.495 0.250 0.284
Cu 0.713 0.250 0.912
Al 0.707 0.750 0.083
Hf 0.505 0.750 0.716
Al 0.207 0.750 0.417
Al 0.293 0.250 0.917
Cu 0.213 0.250 0.588
Hf 0.995 0.250 0.216
Cu 0.287 0.750 0.088
Hf 0.005 0.750 0.784

=====

# 20
HfAlCu2 | PBE | relaxed

Computed properties:
Spin magnetization   0.001 μB/atom
Electronic total energy   -21.9 eV per cell
Volume   14.91 A^3/atom
Crystal system   tetragonal

a b c (Å): 2.976 2.976 6.732
angles (deg): 90.00 90.00 90.00
Fractional positions:
Cu 0.500 0.500 0.781
Cu 0.500 0.500 0.219
Al 0.000 0.000 0.000
Hf 0.000 0.000 0.500